## YZnCoOs (PBE)

Data for an optimized crystal structure of YZnCoOs.

## Properties
relative energy among the computed polymorphs: 0.00 kcal/mol of atoms
energy of formation: 0.25 eV/atom

```
YZnCoOs
1.0
6.3746 0.0000 0.0000
0.0000 6.3746 0.0000
0.0000 0.0000 6.3746
Y Zn Co Os
4 4 4 4
direct
0.0000 0.0000 0.0000
0.0000 0.5000 0.5000
0.5000 0.0000 0.5000
0.5000 0.5000 0.0000
0.0000 0.0000 0.5000
0.0000 0.5000 0.0000
0.5000 0.0000 0.0000
0.5000 0.5000 0.5000
0.2500 0.2500 0.7500
0.2500 0.7500 0.2500
0.7500 0.2500 0.2500
0.7500 0.7500 0.7500
0.2500 0.2500 0.2500
0.2500 0.7500 0.7500
0.7500 0.2500 0.7500
0.7500 0.7500 0.2500
```